Entry 1:
## Li2Bi2Sb (GGA-PBE)

Data for Li2Bi2Sb after structural relaxation.

Lattice parameters (Å, degrees): 8.5431 8.5431 3.3576 90.00 90.00 90.00
With the nearest neighbours (Å) after each atom.
Space group P4/mbm (No. 127)
Unique sites:
1 Li 0.1166 0.3834 0.0000 [4 per cell]  1 Li 2.82, 6 Bi 2.93-3.13
2 Bi 0.1850 0.6850 0.5000 [4 per cell]  6 Li 2.93-3.13
3 Sb 0.0000 0.0000 0.0000 [2 per cell]  2 Sb 3.36, 4 Li 3.42, 8 Bi 3.54

* energy relative to the elements, uncorrected: -3.667 kcal/mol of atoms
* energy above the most stable polymorph in this dataset: 69.9 meV/atom


Entry 2:
## Li6BiSb2 (GGA-PBE)

Data for Li6BiSb2 after structural relaxation.

Lattice parameters (Å, degrees): 7.9665 7.9665 3.2531 90.00 90.00 120.00
With the nearest neighbours (Å) after each atom.
Space group P6/mmm (No. 191)
Unique sites:
1 Li 0.0000 0.3368 0.0000 [6 per cell]  3 Li 2.60-2.68
2 Bi 0.0000 0.0000 0.5000 [1 per cell]  12 Li 3.14, 2 Bi 3.25
3 Sb 0.3333 0.6667 0.5000 [2 per cell]  12 Li 3.10, 2 Sb 3.25

* energy relative to the elements, uncorrected: -10.664 kcal/mol of atoms
* energy above the most stable polymorph in this dataset: 60.7 meV/atom


Entry 3:
## Li6Bi3Sb (GGA-PBE)

Data for Li6Bi3Sb after structural relaxation.

Lattice parameters (Å, degrees): 7.9900 7.8812 7.8573 90.00 106.46 90.00
With the nearest neighbours (Å) after each atom.
Space group C2/m (No. 12)
Unique sites:
1 Li 0.1136 0.1815 0.3561 [8 per cell]  2 Li 2.86-2.87, 4 Bi 2.96-3.19, 1 Sb 3.00
2 Li 0.1237 0.5000 0.8744 [4 per cell]  1 Sb 2.83, 3 Bi 2.89-2.98, 1 Li 3.16
3 Bi 0.0000 0.0000 0.0000 [2 per cell]  6 Li 2.89-3.04, 2 Bi 3.18
4 Bi 0.2357 0.0000 0.7347 [4 per cell]  8 Li 2.96-3.19, 1 Sb 3.17, 1 Bi 3.18
5 Sb 0.0000 0.5000 0.5000 [2 per cell]  6 Li 2.83-3.00

* energy relative to the elements, uncorrected: -8.356 kcal/mol of atoms


Entry 4:
## Li6BiSb2 (GGA-PBE)

Data for Li6BiSb2 after structural relaxation.

Lattice parameters (Å, degrees): 7.9592 7.9592 3.3625 90.00 90.00 120.00
With the nearest neighbours (Å) after each atom.
Space group P-62m (No. 189)
Unique sites:
1 Li 0.0000 0.3760 0.0000 [3 per cell]  1 Bi 2.99, 4 Sb 3.01, 6 Li 3.11-3.20
2 Li 0.0000 0.7049 0.5000 [3 per cell]  2 Sb 2.82, 2 Bi 2.89, 2 Li 3.11
3 Bi 0.0000 0.0000 0.0000 [1 per cell]  9 Li 2.89-2.99
4 Sb 0.3333 0.6667 0.5000 [2 per cell]  9 Li 2.82-3.01

* energy relative to the elements, uncorrected: -12.065 kcal/mol of atoms
* energy above the most stable polymorph in this dataset: 0.0 meV/atom


Entry 5:
## LiBi2Sb2 (GGA-PBE)

Data for LiBi2Sb2 after structural relaxation.

Lattice parameters (Å, degrees): 8.2473 8.2473 4.3866 90.00 90.00 90.00
With the nearest neighbours (Å) after each atom.
Space group P4/mbm (No. 127)
Unique sites:
1 Li 0.0000 0.0000 0.0000 [2 per cell]  4 Sb 3.11
2 Bi 0.1525 0.3475 0.5000 [4 per cell]  6 Sb 3.13-3.36
3 Sb 0.1565 0.6565 0.0000 [4 per cell]  2 Li 3.11, 6 Bi 3.13-3.36

* energy relative to the elements, uncorrected: 0.163 kcal/mol of atoms
* energy above the most stable polymorph in this dataset: 0.0 meV/atom


Entry 6:
## Li2Bi2Sb (GGA-PBE)

Data for Li2Bi2Sb after structural relaxation.

Lattice parameters (Å, degrees): 8.8375 8.8375 3.2852 90.00 90.00 90.00
With the nearest neighbours (Å) after each atom.
Space group P4/mbm (No. 127)
Unique sites:
1 Li 0.1197 0.3803 0.0000 [4 per cell]  3 Li 2.99-3.29, 6 Bi 3.02-3.14
2 Bi 0.1778 0.6778 0.5000 [4 per cell]  6 Li 3.02-3.14, 2 Sb 3.25, 2 Bi 3.29
3 Sb 0.0000 0.0000 0.5000 [2 per cell]  4 Bi 3.25, 2 Sb 3.29

* energy relative to the elements, uncorrected: -5.280 kcal/mol of atoms
* energy above the most stable polymorph in this dataset: 0.0 meV/atom


Entry 7:
## Li3Bi2Sb (GGA-PBE)

Data for Li3Bi2Sb after structural relaxation.

Lattice parameters (Å, degrees): 3.3099 3.3099 12.7838 90.00 90.00 90.00
With the nearest neighbours (Å) after each atom.
Space group P4/mmm (No. 123)
Unique sites:
1 Li 0.0000 0.0000 0.0000 [1 per cell]  8 Bi 3.19, 4 Li 3.31
2 Li 0.0000 0.0000 0.3442 [2 per cell]  4 Sb 3.07, 4 Bi 3.23, 4 Li 3.31
3 Bi 0.5000 0.5000 0.1699 [2 per cell]  8 Li 3.19-3.23, 4 Bi 3.31
4 Sb 0.5000 0.5000 0.5000 [1 per cell]  8 Li 3.07, 4 Sb 3.31

* energy relative to the elements, uncorrected: -8.963 kcal/mol of atoms


Entry 8:
## LiBi2Sb2 (GGA-PBE)

Data for LiBi2Sb2 after structural relaxation.

Lattice parameters (Å, degrees): 5.9745 5.9745 9.7630 90.00 90.00 90.00
With the nearest neighbours (Å) after each atom.
Space group I4/mmm (No. 139)
Unique sites:
1 Li 0.0000 0.0000 0.0000 [2 per cell]  2 Bi 3.31
2 Bi 0.0000 0.0000 0.3388 [4 per cell]  4 Sb 3.11, 1 Bi 3.15, 1 Li 3.31
3 Sb 0.0000 0.5000 0.2500 [4 per cell]  4 Bi 3.11

* energy relative to the elements, uncorrected: 1.904 kcal/mol of atoms
* energy above the most stable polymorph in this dataset: 75.5 meV/atom


Look up the energy relative to the elements, uncorrected of the fifth one.
0.163 kcal/mol of atoms